(1)
BeCd2Ag | PBE-GGA | optimized geometry

Computed properties:
formation enthalpy at 0 K: 0.257 eV per atom
D(E_F): 0.55 states/eV per cell

Unit cell a=5.527 b=5.527 c=5.034 alpha=61.46 beta=61.46 gamma=31.56
Element x y z (fractional)
Be (0.250, 0.250, 0.250)
Cd (0.527, 0.527, 0.472)
Cd (0.973, 0.973, 0.028)
Ag (0.750, 0.750, 0.750)

(2)
PIrO2 | PBE-GGA | optimized geometry

Computed properties:
formation energy (no corrections): -15.0 kJ per mole of atoms
D(E_F): 0.82 states/eV per cell

Unit cell a=6.227 b=6.227 c=6.227 alpha=29.16 beta=29.16 gamma=29.16
Element x y z (fractional)
P (0.000, 0.000, 0.000)
Ir (0.500, 0.500, 0.500)
O (0.112, 0.112, 0.112)
O (0.888, 0.888, 0.888)

(3)
La2InHPd | PBE-GGA | optimized geometry

Computed properties:
D(E_F): 5.15 states/eV per cell
total DFT energy (no corrections): -4.759 eV per atom

Unit cell a=5.387 b=5.387 c=3.927 alpha=90.00 beta=90.00 gamma=90.00
Element x y z (fractional)
La (0.000, 0.500, 0.000)
La (0.500, 0.000, 0.000)
Pd (0.000, 0.000, 0.500)
H (0.000, 0.000, 0.000)
In (0.500, 0.500, 0.500)

(4)
CsCaH2Br | PBE-GGA | optimized geometry

Computed properties:
D(E_F): 0.00 states/eV per cell
total DFT energy (no corrections): -3.104 eV per atom

Unit cell a=4.843 b=4.843 c=5.783 alpha=90.00 beta=90.00 gamma=90.00
Element x y z (fractional)
H (0.000, 0.500, 0.000)
H (0.500, 0.000, 0.000)
Cs (0.500, 0.500, 0.500)
Ca (0.000, 0.000, 0.000)
Br (0.000, 0.000, 0.500)

(5)
CsNiOs | PBE-GGA | optimized geometry

Computed properties:
formation enthalpy at 0 K: 0.461 eV per atom
D(E_F): 6.44 states/eV per cell

Unit cell a=4.234 b=4.235 c=12.156 alpha=90.76 beta=90.20 gamma=120.01
Element x y z (fractional)
Os (0.166, 0.833, 0.996)
Os (0.834, 0.167, 0.004)
Ni (0.503, 0.505, 0.095)
Ni (0.497, 0.495, 0.905)
Cs (0.820, 0.148, 0.713)
Cs (0.180, 0.852, 0.287)

(6)
PrTl2BiS4 | PBE-GGA | optimized geometry

Computed properties:
formation energy (no corrections): -89.7 kJ per mole of atoms

Unit cell a=4.184 b=7.254 c=7.853 alpha=107.97 beta=90.00 gamma=90.00
Element x y z (fractional)
S (0.500, 0.765, 0.792)
S (0.000, 0.263, 0.793)
S (0.500, 0.235, 0.208)
S (0.000, 0.737, 0.207)
Bi (0.000, 0.000, 0.000)
Tl (0.500, 0.000, 0.500)
Tl (0.000, 0.500, 0.500)
Pr (0.500, 0.500, 0.000)

(7)
AsBrCl | PBE-GGA | optimized geometry

Computed properties:
formation energy (no corrections): -45.2 kJ per mole of atoms
D(E_F): 0.00 states/eV per cell

Unit cell a=6.302 b=5.606 c=14.501 alpha=90.00 beta=106.37 gamma=90.00
Element x y z (fractional)
As (0.506, 0.175, 0.089)
As (0.494, 0.675, 0.411)
As (0.494, 0.175, 0.911)
As (0.506, 0.675, 0.589)
Br (0.568, 0.269, 0.382)
Br (0.432, 0.769, 0.118)
Br (0.432, 0.269, 0.618)
Br (0.568, 0.769, 0.882)
Cl (0.130, 0.682, 0.363)
Cl (0.870, 0.182, 0.137)
Cl (0.870, 0.682, 0.637)
Cl (0.130, 0.182, 0.863)

(8)
AgSb3Os | PBE-GGA | optimized geometry

Computed properties:
formation energy (no corrections): 70.6 kJ per mole of atoms
D(E_F): 0.72 states/eV per cell

Unit cell a=5.165 b=5.165 c=5.165 alpha=90.00 beta=90.00 gamma=90.00
Element x y z (fractional)
Ag (0.500, 0.500, 0.500)
Sb (0.000, 0.500, 0.000)
Sb (0.000, 0.000, 0.500)
Sb (0.500, 0.000, 0.000)
Os (0.000, 0.000, 0.000)

(9)
LiNd2ZnO5 | PBE-GGA | optimized geometry

Computed properties:
formation energy (no corrections): -213.3 kJ per mole of atoms
D(E_F): 5.38 states/eV per cell

Unit cell a=5.791 b=6.735 c=6.735 alpha=90.00 beta=90.00 gamma=90.00
Element x y z (fractional)
O (0.245, 0.636, 0.864)
O (0.755, 0.636, 0.864)
O (0.500, 0.000, 0.000)
O (0.245, 0.864, 0.364)
O (0.500, 0.500, 0.500)
O (0.245, 0.136, 0.636)
O (0.755, 0.136, 0.636)
O (0.245, 0.364, 0.136)
O (0.755, 0.864, 0.364)
O (0.755, 0.364, 0.136)
Zn (0.000, 0.000, 0.500)
Zn (0.000, 0.500, 0.000)
Nd (0.500, 0.825, 0.675)
Nd (0.500, 0.325, 0.825)
Nd (0.500, 0.175, 0.325)
Nd (0.500, 0.675, 0.175)
Li (0.000, 0.000, 0.000)
Li (0.000, 0.500, 0.500)

(10)
La6GeTe3Br2 | PBE-GGA | optimized geometry

Computed properties:
formation energy (no corrections): -136.1 kJ per mole of atoms
D(E_F): 7.24 states/eV per cell

Unit cell a=4.479 b=8.972 c=10.000 alpha=102.47 beta=102.94 gamma=90.00
Element x y z (fractional)
La (0.000, 0.770, 0.000)
La (0.342, 0.919, 0.684)
La (0.330, 0.427, 0.659)
La (0.670, 0.573, 0.341)
La (0.000, 0.230, 0.000)
La (0.658, 0.081, 0.316)
Ge (0.500, 0.000, 0.000)
Te (0.830, 0.171, 0.661)
Te (0.500, 0.500, 0.000)
Te (0.170, 0.829, 0.339)
Br (0.836, 0.674, 0.671)
Br (0.164, 0.326, 0.329)

(11)
BaHfSn2B | PBE-GGA | optimized geometry

Computed properties:
formation enthalpy at 0 K: 0.182 eV per atom
D(E_F): 1.91 states/eV per cell

Unit cell a=5.546 b=4.759 c=5.546 alpha=90.00 beta=90.00 gamma=90.00
Element x y z (fractional)
Sn (0.000, 0.000, 0.500)
Sn (0.500, 0.000, 0.000)
B (0.000, 0.500, 0.000)
Ba (0.500, 0.500, 0.500)
Hf (0.000, 0.000, 0.000)

(12)
CuTcPt2 | PBE-GGA | optimized geometry

Computed properties:
formation enthalpy at 0 K: 0.370 eV per atom
D(E_F): 7.47 states/eV per cell

Unit cell a=3.806 b=3.806 c=9.193 alpha=78.05 beta=78.05 gamma=90.00
Element x y z (fractional)
Pt (0.623, 0.125, 0.250)
Pt (0.875, 0.873, 0.750)
Pt (0.375, 0.377, 0.750)
Pt (0.127, 0.625, 0.250)
Tc (0.000, 0.000, 0.000)
Tc (0.750, 0.250, 0.500)
Cu (0.500, 0.500, 0.000)
Cu (0.250, 0.750, 0.500)

(13)
Rb4PmPa3S12 | PBE-GGA | optimized geometry

Computed properties:
formation energy (no corrections): -141.7 kJ per mole of atoms
D(E_F): 9.94 states/eV per cell

Unit cell a=9.238 b=9.238 c=9.238 alpha=109.47 beta=109.47 gamma=109.47
Element x y z (fractional)
S (0.740, 0.740, 0.000)
S (0.260, 0.000, 0.260)
S (0.250, 0.750, 0.500)
S (0.750, 0.500, 0.250)
S (0.260, 0.260, 0.000)
S (0.000, 0.740, 0.740)
S (0.740, 0.000, 0.740)
S (0.250, 0.500, 0.750)
S (0.500, 0.250, 0.750)
S (0.500, 0.750, 0.250)
S (0.750, 0.250, 0.500)
S (0.000, 0.260, 0.260)
Rb (0.000, 0.000, 0.500)
Rb (0.000, 0.500, 0.000)
Rb (0.500, 0.000, 0.000)
Rb (0.500, 0.500, 0.500)
Pm (0.000, 0.000, 0.000)
Pa (0.500, 0.000, 0.500)
Pa (0.000, 0.500, 0.500)
Pa (0.500, 0.500, 0.000)

(14)
Li4CdBr6 | PBE-GGA | optimized geometry

Computed properties:
formation energy (no corrections): -126.8 kJ per mole of atoms
D(E_F): 0.00 states/eV per cell

Unit cell a=7.507 b=7.218 c=14.607 alpha=70.54 beta=75.11 gamma=58.67
Element x y z (fractional)
Li (0.245, 0.991, 0.656)
Li (0.486, 0.662, 0.911)
Li (0.710, 0.187, 0.826)
Li (0.941, 0.162, 0.411)
Li (0.109, 0.491, 0.156)
Li (0.772, 0.195, 0.158)
Li (0.875, 0.695, 0.658)
Li (0.277, 0.687, 0.326)
Cd (0.625, 0.825, 0.392)
Cd (0.158, 0.325, 0.892)
Br (0.514, 0.969, 0.946)
Br (0.758, 0.831, 0.206)
Br (0.075, 0.134, 0.233)
Br (0.205, 0.331, 0.706)
Br (0.815, 0.277, 0.967)
Br (0.941, 0.777, 0.467)
Br (0.558, 0.634, 0.733)
Br (0.141, 0.624, 0.965)
Br (0.270, 0.124, 0.465)
Br (0.571, 0.469, 0.446)
Br (0.411, 0.491, 0.195)
Br (0.904, 0.991, 0.695)

(15)
Sc2InPb | PBE-GGA | optimized geometry

Computed properties:
formation enthalpy at 0 K: -0.363 eV per atom
D(E_F): 2.97 states/eV per cell

Unit cell a=5.477 b=5.477 c=5.477 alpha=129.97 beta=129.96 gamma=73.46
Element x y z (fractional)
Sc (0.000, 0.000, 0.000)
Sc (0.500, 0.500, 0.000)
In (0.750, 0.250, 0.500)
Pb (0.250, 0.750, 0.500)

(16)
CeNdErPb | PBE-GGA | optimized geometry

Computed properties:
formation enthalpy at 0 K: -0.061 eV per atom
D(E_F): 8.06 states/eV per cell

Unit cell a=5.494 b=5.494 c=5.494 alpha=60.00 beta=60.00 gamma=60.00
Element x y z (fractional)
Pb (0.000, 0.000, 0.000)
Nd (0.250, 0.250, 0.250)
Ce (0.500, 0.500, 0.500)
Er (0.750, 0.750, 0.750)

(17)
Mn2GeN | PBE-GGA | optimized geometry

Computed properties:
formation energy (no corrections): -13.8 kJ per mole of atoms
D(E_F): 1.64 states/eV per cell

Unit cell a=2.771 b=2.771 c=6.315 alpha=90.00 beta=90.00 gamma=90.00
Element x y z (fractional)
Mn (0.000, 0.500, 0.434)
Mn (0.500, 0.000, 0.107)
N (0.000, 0.500, 0.137)
Ge (0.500, 0.000, 0.708)

(18)
FePHAuC | PBE-GGA | optimized geometry

Computed properties:
D(E_F): 6.42 states/eV per cell
total DFT energy (no corrections): -5.441 eV per atom

Unit cell a=3.172 b=3.172 c=21.954 alpha=90.00 beta=90.00 gamma=120.00
Element x y z (fractional)
C (0.667, 0.333, 0.707)
C (0.333, 0.667, 0.040)
C (0.000, 0.000, 0.373)
H (0.000, 0.000, 0.114)
H (0.333, 0.667, 0.780)
H (0.667, 0.333, 0.447)
P (0.667, 0.333, 0.270)
P (0.333, 0.667, 0.603)
P (0.000, 0.000, 0.937)
Fe (0.333, 0.667, 0.702)
Fe (0.000, 0.000, 0.036)
Fe (0.667, 0.333, 0.369)
Au (0.667, 0.333, 0.527)
Au (0.000, 0.000, 0.194)
Au (0.333, 0.667, 0.860)

(19)
PaNiSb3 | PBE-GGA | optimized geometry

Computed properties:
formation energy (no corrections): -24.1 kJ per mole of atoms
D(E_F): 5.60 states/eV per cell

Unit cell a=4.576 b=4.435 c=6.250 alpha=110.78 beta=90.00 gamma=90.00
Element x y z (fractional)
Sb (0.500, 0.763, 0.526)
Sb (0.000, 0.245, 0.491)
Sb (0.000, 0.504, 0.008)
Pa (0.500, 0.056, 0.111)
Ni (0.500, 0.392, 0.784)

(20)
CeTc2Sn | PBE-GGA | optimized geometry

Computed properties:
formation enthalpy at 0 K: -0.111 eV per atom
D(E_F): 5.47 states/eV per cell

Unit cell a=3.471 b=4.641 c=4.641 alpha=90.00 beta=90.00 gamma=90.00
Element x y z (fractional)
Ce (0.500, 0.000, 0.000)
Tc (0.000, 0.500, 0.000)
Tc (0.000, 0.000, 0.500)
Sn (0.500, 0.500, 0.500)

(21)
PtPb2 | PBE-GGA | optimized geometry

Computed properties:
formation enthalpy at 0 K: -0.129 eV per atom
D(E_F): 5.68 states/eV per cell

Unit cell a=6.840 b=6.840 c=6.840 alpha=90.00 beta=90.00 gamma=90.00
Element x y z (fractional)
Pt (0.000, 0.500, 0.500)
Pt (0.000, 0.000, 0.000)
Pt (0.500, 0.000, 0.500)
Pt (0.500, 0.500, 0.000)
Pb (0.638, 0.862, 0.138)
Pb (0.862, 0.362, 0.138)
Pb (0.138, 0.862, 0.362)
Pb (0.638, 0.638, 0.638)
Pb (0.362, 0.362, 0.362)
Pb (0.138, 0.638, 0.862)
Pb (0.362, 0.138, 0.862)
Pb (0.862, 0.138, 0.638)